First-principles (GGA-PBE) data for DyZrZnTc after structural relaxation, as listed in the Alexandria database.

The structure in POSCAR format:
```
DyZrZnTc
1.0
6.804 0.000 0.000
0.000 6.804 0.000
0.000 0.000 6.804
Dy Zr Zn Tc
4 4 4 4
Direct
0.000 0.000 0.000
0.000 0.500 0.500
0.500 0.000 0.500
0.500 0.500 0.000
0.000 0.000 0.500
0.000 0.500 0.000
0.500 0.000 0.000
0.500 0.500 0.500
0.250 0.250 0.750
0.250 0.750 0.250
0.750 0.250 0.250
0.750 0.750 0.750
0.250 0.250 0.250
0.250 0.750 0.750
0.750 0.250 0.750
0.750 0.750 0.250
```

**SG**: No. 216
**Total magnetization**: 0.00 μB per formula unit
**Crystal system**: cubic
**Energy of formation**: -18 kJ/mol of atoms
**Energy**: -6.39 eV per atom

First-principles (GGA-PBE) data for DyZrTc4 after structural relaxation, as listed in the Alexandria database.

The structure in POSCAR format:
```
DyZrTc4
1.0
0.000 3.775 3.775
3.775 0.000 3.775
3.775 3.775 0.000
Dy Zr Tc
1 1 4
Direct
0.000 0.000 0.000
0.750 0.750 0.750
0.375 0.375 0.375
0.375 0.375 0.874
0.375 0.874 0.375
0.874 0.375 0.375
```

**SG**: No. 216
**Total magnetization**: 0.00 μB per formula unit
**Crystal system**: cubic
**Energy of formation**: -19 kJ/mol of atoms
**Energy**: -9.30 eV per atom

First-principles (GGA-PBE) data for DyZr2Tc9 after structural relaxation, as listed in the Alexandria database.

The structure in POSCAR format:
```
DyZr2Tc9
1.0
2.630 1.518 8.693
-2.630 1.518 8.693
0.000 -3.037 8.693
Dy Zr Tc
1 2 9
Direct
0.000 0.000 0.000
0.143 0.143 0.143
0.857 0.857 0.857
0.076 0.590 0.590
0.336 0.336 0.336
0.410 0.410 0.924
0.410 0.924 0.410
0.500 0.500 0.500
0.590 0.076 0.590
0.590 0.590 0.076
0.664 0.664 0.664
0.924 0.410 0.410
```

**SG**: No. 166
**Total magnetization**: 0.00 μB per formula unit
**Crystal system**: trigonal
**Energy of formation**: -13 kJ/mol of atoms
**Energy**: -9.72 eV per atom

First-principles (GGA-PBE) data for Dy2Te3 after structural relaxation, as listed in the Alexandria database.

The structure in POSCAR format:
```
Dy2Te3
1.0
11.995 0.000 0.000
0.000 4.287 0.000
0.000 0.000 11.843
Dy Te
8 12
Direct
0.018 0.250 0.189
0.196 0.250 0.497
0.304 0.750 0.997
0.482 0.750 0.689
0.518 0.250 0.311
0.696 0.250 0.003
0.804 0.750 0.503
0.982 0.750 0.811
0.042 0.750 0.377
0.118 0.250 0.944
0.223 0.750 0.694
0.277 0.250 0.194
0.382 0.750 0.444
0.458 0.250 0.877
0.542 0.750 0.123
0.618 0.250 0.556
0.723 0.750 0.806
0.777 0.250 0.306
0.882 0.750 0.056
0.958 0.250 0.623
```

**SG**: No. 62
**Formation energy (no corrections)**: -133 kJ/mol of atoms
**Total magnetization**: 0.00 μB per formula unit
**Crystal system**: orthorhombic
**Energy**: -5.11 eV per atom

First-principles (GGA-PBE) data for DyTe after structural relaxation, as listed in the Alexandria database.

The structure in POSCAR format:
```
DyTe
1.0
3.778 0.000 0.000
0.000 3.778 0.000
0.000 0.000 3.778
Dy Te
1 1
Direct
0.000 0.000 0.000
0.500 0.500 0.500
```

**SG**: No. 221
**Formation energy (no corrections)**: -112 kJ/mol of atoms
**Total magnetization**: 0.52 μB per formula unit
**Crystal system**: cubic
**Energy**: -5.03 eV per atom

First-principles (GGA-PBE) data for DyTe after structural relaxation, as listed in the Alexandria database.

The structure in POSCAR format:
```
DyTe
1.0
6.156 0.000 0.000
0.000 6.156 0.000
0.000 0.000 6.156
Dy Te
4 4
Direct
0.000 0.000 0.000
0.000 0.500 0.500
0.500 0.000 0.500
0.500 0.500 0.000
0.000 0.000 0.500
0.000 0.500 0.000
0.500 0.000 0.000
0.500 0.500 0.500
```

**SG**: No. 225
**Formation energy (no corrections)**: -123 kJ/mol of atoms
**Total magnetization**: 0.00 μB per formula unit
**Crystal system**: cubic
**Energy**: -5.15 eV per atom